No. 1
! PBE CrCoOs2, relaxed; values from VASP
! relative energy among the computed polymorphs: 0.078 eV/atom
! E_form: 0.139 eV per atom
&SYSTEM
  ibrav = 0, nat = 4, ntyp = 3
/
ATOMIC_SPECIES
Cr 52.00 Cr.upf
Co 58.93 Co.upf
Os 190.23 Os.upf
CELL_PARAMETERS angstrom
2.649 0.000 0.000
0.000 2.649 0.000
0.000 0.000 7.299
ATOMIC_POSITIONS crystal
Cr 0.000 0.000 0.000
Co 0.000 0.000 0.500
Os 0.500 0.500 0.252
Os 0.500 0.500 0.748


No. 2
! PBE Cr2CoOs, relaxed; values from VASP
! E_form: 0.154 eV per atom
&SYSTEM
  ibrav = 0, nat = 4, ntyp = 3
/
ATOMIC_SPECIES
Cr 52.00 Cr.upf
Co 58.93 Co.upf
Os 190.23 Os.upf
CELL_PARAMETERS angstrom
2.547 0.000 0.000
0.000 3.911 0.000
-1.163 0.000 4.883
ATOMIC_POSITIONS crystal
Cr 0.000 0.000 0.000
Cr 0.347 0.500 0.242
Co 0.506 0.500 0.765
Os 0.878 0.000 0.501


No. 3
! PBE Cr2CoOs, relaxed; values from VASP
! E_form: 0.155 eV per atom
&SYSTEM
  ibrav = 0, nat = 4, ntyp = 3
/
ATOMIC_SPECIES
Cr 52.00 Cr.upf
Co 58.93 Co.upf
Os 190.23 Os.upf
CELL_PARAMETERS angstrom
2.610 0.000 0.000
0.000 3.587 0.000
0.000 0.000 5.193
ATOMIC_POSITIONS crystal
Cr 0.000 0.000 0.000
Cr 0.500 0.500 0.259
Co 0.500 0.500 0.776
Os 0.000 0.000 0.509


No. 4
! PBE CrCoOs2, relaxed; values from VASP
! relative energy among the computed polymorphs: 0.063 eV/atom
! E_form: 0.124 eV per atom
&SYSTEM
  ibrav = 0, nat = 4, ntyp = 3
/
ATOMIC_SPECIES
Cr 52.00 Cr.upf
Co 58.93 Co.upf
Os 190.23 Os.upf
CELL_PARAMETERS angstrom
2.651 -3.610 0.000
2.651 3.610 0.000
0.000 0.000 2.672
ATOMIC_POSITIONS crystal
Cr 0.000 0.000 0.000
Co 0.500 0.500 0.000
Os 0.000 0.500 0.500
Os 0.500 0.000 0.500


Copy entry 3 word for word.
! PBE Cr2CoOs, relaxed; values from VASP
! E_form: 0.155 eV per atom
&SYSTEM
  ibrav = 0, nat = 4, ntyp = 3
/
ATOMIC_SPECIES
Cr 52.00 Cr.upf
Co 58.93 Co.upf
Os 190.23 Os.upf
CELL_PARAMETERS angstrom
2.610 0.000 0.000
0.000 3.587 0.000
0.000 0.000 5.193
ATOMIC_POSITIONS crystal
Cr 0.000 0.000 0.000
Cr 0.500 0.500 0.259
Co 0.500 0.500 0.776
Os 0.000 0.000 0.509